No. 1
The following is a DFT calculation (PBE-GGA) of a relaxed Ti2TcGe2 crystal.

Output
symmetry: Cmc2_1
total magnetization: 0.00 μB/f.u.
calculated total energy: -7.582 eV per atom

Lattice parameters (Å, degrees): 7.2486 7.2486 5.2392 90.00 90.00 145.13
Closest atoms and distances in Å follow each position.
Fractional coordinates of all 10 atoms:
Ti (0.0266, 0.9734, 0.5000)  5 Ge 2.55-2.74, 3 Ti 2.72-2.74
Ti (0.1705, 0.8295, 0.9409)  6 Ge 2.65-2.80, 3 Tc 2.71-2.87, 1 Ti 2.74
Ti (0.8295, 0.1705, 0.4409)  6 Ge 2.65-2.80, 3 Tc 2.71-2.87, 1 Ti 2.74
Ti (0.9734, 0.0266, 0.0000)  5 Ge 2.55-2.74, 3 Ti 2.72-2.74
Tc (0.3632, 0.6368, 0.7388)  5 Ge 2.61-2.72, 3 Ti 2.71-2.87
Tc (0.6368, 0.3632, 0.2388)  5 Ge 2.61-2.72, 3 Ti 2.71-2.87
Ge (0.2101, 0.7899, 0.4460)  5 Ti 2.55-2.73, 3 Tc 2.61-2.63
Ge (0.4408, 0.5592, 0.2776)  2 Tc 2.64-2.72, 6 Ti 2.65-2.80
Ge (0.5592, 0.4408, 0.7776)  2 Tc 2.64-2.72, 6 Ti 2.65-2.80
Ge (0.7899, 0.2101, 0.9460)  5 Ti 2.55-2.73, 3 Tc 2.61-2.63

=====

No. 2
The following is a DFT calculation (PBE-GGA) of a relaxed CeTmTc crystal.

Output
symmetry: P2_1/m
total magnetization: 0.00 μB/f.u.
calculated total energy: -6.990 eV per atom

Lattice parameters (Å, degrees): 5.0382 3.5182 8.0937 90.00 104.95 90.00
Closest atoms and distances in Å follow each position.
Fractional coordinates of all 6 atoms:
Ce (0.2455, 0.2500, 0.0368)  1 Tc 2.33
Ce (0.7545, 0.7500, 0.9632)  1 Tc 2.33
Tm (0.2047, 0.7500, 0.3842)  3 Tc 2.88-3.20
Tm (0.7953, 0.2500, 0.6158)  3 Tc 2.88-3.20
Tc (0.3392, 0.7500, 0.7522)  1 Ce 2.33
Tc (0.6608, 0.2500, 0.2478)  1 Ce 2.33

=====

No. 3
The following is a DFT calculation (PBE-GGA) of a relaxed NdPaTe2 crystal.

Output
symmetry: Fm-3m
formation energy without anion corrections: -0.92 eV/atom
total magnetization: 1.03 μB/f.u.
calculated total energy: -6.055 eV per atom

Lattice parameters (Å, degrees): 5.3715 5.3715 5.3715 60.00 60.00 60.00
Closest atoms and distances in Å follow each position.
Fractional coordinates of all 4 atoms:
Nd (0.0000, 0.0000, 0.0000)  8 Te 3.29
Pa (0.5000, 0.5000, 0.5000)  8 Te 3.29
Te (0.2500, 0.2500, 0.2500)  4 Pa 3.29, 4 Nd 3.29
Te (0.7500, 0.7500, 0.7500)  4 Pa 3.29, 4 Nd 3.29

=====

No. 4
The following is a DFT calculation (PBE-GGA) of a relaxed NaNb3B crystal.

Output
symmetry: Pm-3m
total magnetization: 0.00 μB/f.u.
calculated total energy: -4.894 eV per atom

Lattice parameters (Å, degrees): 4.5656 4.5656 4.5656 90.00 90.00 90.00
Closest atoms and distances in Å follow each position.
Fractional coordinates of all 5 atoms:
Na (0.0000, 0.0000, 0.0000)  6 Nb 2.28
Nb (0.0000, 0.0000, 0.5000)  2 Na 2.28
Nb (0.0000, 0.5000, 0.0000)  2 Na 2.28
Nb (0.5000, 0.0000, 0.0000)  2 Na 2.28
B (0.5000, 0.5000, 0.5000)  12 Nb 3.23

=====

No. 5
The following is a DFT calculation (PBE-GGA) of a relaxed CsSn3Pt crystal.

Output
symmetry: Pm-3m
total magnetization: 0.00 μB/f.u.
calculated total energy: -1.820 eV per atom

Lattice parameters (Å, degrees): 5.9967 5.9967 5.9967 90.00 90.00 90.00
Closest atoms and distances in Å follow each position.
Fractional coordinates of all 5 atoms:
Cs (0.0000, 0.0000, 0.0000)  6 Sn 3.00
Sn (0.0000, 0.0000, 0.5000)  2 Cs 3.00
Sn (0.0000, 0.5000, 0.0000)  2 Cs 3.00
Sn (0.5000, 0.0000, 0.0000)  2 Cs 3.00
Pt (0.5000, 0.5000, 0.5000)  12 Sn 4.24

=====

No. 6
The following is a DFT calculation (PBE-GGA) of a relaxed TaCu2Mo crystal.

Output
symmetry: R-3m
total magnetization: 0.00 μB/f.u.
calculated total energy: -7.400 eV per atom

Lattice parameters (Å, degrees): 9.3102 9.3102 9.3102 16.93 16.93 16.93
Closest atoms and distances in Å follow each position.
Fractional coordinates of all 4 atoms:
Ta (0.0000, 0.0000, 0.0000)  6 Ta 2.74, 6 Cu 2.83
Cu (0.2483, 0.2483, 0.2483)  6 Cu 2.74, 3 Mo 2.75, 3 Ta 2.83
Cu (0.7517, 0.7517, 0.7517)  6 Cu 2.74, 3 Mo 2.75, 3 Ta 2.83
Mo (0.5000, 0.5000, 0.5000)  6 Mo 2.74, 6 Cu 2.75

=====

no.,ΔE to the lowest computed polymorph (eV per atom)
1,0.058
2,0.023
3,0.048
4,2.262
5,2.264
6,0.211